(1)
Density functional theory data (PBE) for a relaxed structure of Th4Zn3Cd.

Calculated values
ΔE_f (eV per atom): -0.124
D(E_F) (states/eV per cell): 10.2
Space-group type: No. 123
E (eV per cell): -70.8

a b c (Å): 5.259 7.445 10.518
angles (deg): 90.00 90.00 90.00
Atoms (fractional coordinates):
1 Th 0.500 0.757 0.000
2 Th 0.500 0.243 0.500
3 Th 0.000 0.243 0.750
4 Th 0.000 0.757 0.750
5 Th 0.000 0.243 0.250
6 Th 0.500 0.757 0.500
7 Th 0.500 0.243 0.000
8 Th 0.000 0.757 0.250
9 Cd 0.000 0.500 0.500
10 Cd 0.000 0.500 0.000
11 Zn 0.499 0.000 0.250
12 Zn 0.000 0.000 0.500
13 Zn 0.000 0.000 0.000
14 Zn 0.501 0.500 0.750
15 Zn 0.501 0.000 0.750
16 Zn 0.499 0.500 0.250

(2)
Density functional theory data (PBE) for a relaxed structure of ThZn9Cd2.

Calculated values
ΔE_f (eV per atom): -0.078
D(E_F) (states/eV per cell): 4.1
Space-group type: No. 166
E (eV per cell): -21.7

a b c (Å): 5.388 5.388 8.999
angles (deg): 72.58 72.58 60.00
Atoms (fractional coordinates):
1 Zn 0.667 0.667 0.998
2 Zn 0.413 0.413 0.255
3 Zn 0.587 0.081 0.745
4 Zn 0.500 0.500 0.500
5 Zn 0.333 0.333 0.002
6 Zn 0.587 0.587 0.745
7 Zn 0.413 0.919 0.255
8 Zn 0.919 0.413 0.255
9 Zn 0.081 0.587 0.745
10 Cd 0.138 0.138 0.585
11 Cd 0.862 0.862 0.415
12 Th 0.000 0.000 0.000

(3)
Density functional theory data (PBE) for a relaxed structure of ThZn17Cd.

Calculated values
ΔE_f (eV per atom): -0.084
D(E_F) (states/eV per cell): 5.3
Space-group type: No. 160
E (eV per cell): -31.6

a b c (Å): 6.863 6.863 6.863
angles (deg): 82.14 82.14 82.14
Atoms (fractional coordinates):
1 Zn 0.006 0.295 0.686
2 Zn 0.653 0.155 0.653
3 Zn 0.986 0.986 0.496
4 Zn 0.686 0.006 0.295
5 Zn 0.686 0.295 0.006
6 Zn 0.155 0.653 0.653
7 Zn 0.496 0.986 0.986
8 Zn 0.346 0.346 0.848
9 Zn 0.653 0.653 0.155
10 Zn 0.902 0.902 0.902
11 Zn 0.295 0.006 0.686
12 Zn 0.346 0.848 0.346
13 Zn 0.848 0.346 0.346
14 Zn 0.100 0.100 0.100
15 Zn 0.006 0.686 0.295
16 Zn 0.986 0.496 0.986
17 Zn 0.295 0.686 0.006
18 Th 0.661 0.661 0.661
19 Cd 0.395 0.395 0.395